Here is crystalline CsRbSeO4 at its relaxed geometry from Alexandria via LeMat-Bulk. Energies are from PBE.

The calculation puts the calculated total energy at -0.1835 hartree per atom. The uncorrected formation energy is -1.401 eV/atom. Its crystal system is orthorhombic.

Unit cell a=6.459 b=6.459 c=8.749 alpha=90.00 beta=90.00 gamma=119.25
Fractional coordinates of all 14 atoms:
Cs (0.185, 0.815, 0.750)
Cs (0.815, 0.185, 0.250)
Rb (0.500, 0.500, 0.000)
Rb (0.500, 0.500, 0.500)
Se (0.157, 0.843, 0.250)
Se (0.843, 0.157, 0.750)
O (0.140, 0.280, 0.750)
O (0.246, 0.754, 0.095)
O (0.246, 0.754, 0.405)
O (0.280, 0.140, 0.250)
O (0.720, 0.860, 0.750)
O (0.754, 0.246, 0.595)
O (0.754, 0.246, 0.905)
O (0.860, 0.720, 0.250)